Entry from the Alexandria database: a geometry-optimized V2Fe3Ru3 structure (PBE).

Structure (POSCAR):
```
V2Fe3Ru3
1.0
2.1004 1.2126 6.8502
-2.1004 1.2126 6.8502
0.0000 -2.4253 6.8502
V Fe Ru
2 3 3
Direct
0.0000 0.0000 0.0000
0.4971 0.4971 0.4971
0.2517 0.2517 0.2517
0.3739 0.3739 0.3739
0.7466 0.7466 0.7466
0.1235 0.1235 0.1235
0.6240 0.6240 0.6240
0.8734 0.8734 0.8734
```

Uncorrected energy, eV per atom: -9.038
Magnetic moment, μB/f.u.: 9.3
Energy relative to the elements, eV/atom: -0.1069

=====

Entry from the Alexandria database: a geometry-optimized Er2Tm2SiIr4 structure (PBE).

Structure (POSCAR):
```
Er2Tm2SiIr4
1.0
-3.1892 3.1892 4.4023
3.1892 -3.1892 4.4023
3.1892 3.1892 -4.4023
Er Tm Si Ir
2 2 1 4
Direct
0.1905 0.1905 0.0000
0.8095 0.8095 0.0000
0.2500 0.7500 0.5000
0.7500 0.2500 0.5000
0.5000 0.5000 0.0000
0.2449 0.2449 0.4898
0.2449 0.7551 0.0000
0.7551 0.2449 0.0000
0.7551 0.7551 0.5102
```

Uncorrected energy, eV per atom: -7.141
Magnetic moment, μB/f.u.: 0.0
Formation energy (no corrections), eV per formula unit: -5.33

=====

Entry from the Alexandria database: a geometry-optimized TbInPt structure (PBE).

Structure (POSCAR):
```
TbInPt
1.0
13.5952 0.0000 0.0000
0.0000 3.7962 0.0000
0.0000 0.0000 7.8184
Tb In Pt
6 6 6
Direct
0.0488 0.0000 0.2193
0.2500 0.0000 0.8343
0.4512 0.0000 0.2193
0.5488 0.0000 0.7807
0.7500 0.0000 0.1657
0.9512 0.0000 0.7807
0.1120 0.5000 0.5647
0.2500 0.5000 0.1853
0.3880 0.5000 0.5647
0.6120 0.5000 0.4353
0.7500 0.5000 0.8147
0.8880 0.5000 0.4353
0.0977 0.5000 0.9325
0.2500 0.0000 0.4463
0.4023 0.5000 0.9325
0.5977 0.5000 0.0675
0.7500 0.0000 0.5537
0.9023 0.5000 0.0675
```

Uncorrected energy, eV per atom: -5.443
Magnetic moment, μB/f.u.: 0.0
Energy relative to the elements, eV/atom: -0.9730